# 1
VASP calculation (PBE) on a relaxed RbCd6 crystal.

Cell and atoms, written as extended XYZ:
```
14
Lattice="8.104 0.000 0.000 0.000 8.104 0.000 0.000 0.000 8.104" Properties=species:S:1:pos:R:3 pbc="T T T"
Rb 0.000 0.000 0.000
Rb 4.052 4.052 4.052
Cd 0.000 2.026 4.052
Cd 0.000 4.052 2.026
Cd 0.000 4.052 6.078
Cd 0.000 6.078 4.052
Cd 2.026 0.000 4.052
Cd 2.026 4.052 0.000
Cd 4.052 0.000 2.026
Cd 4.052 0.000 6.078
Cd 4.052 2.026 0.000
Cd 4.052 6.078 0.000
Cd 6.078 0.000 4.052
Cd 6.078 4.052 0.000
```

Output
**ΔH_f (0 K)**: 0.799 eV/f.u.
**Energy relative to the lowest polymorph listed for this composition**: 0.1526 eV/atom
**Total magnetization**: 0.00 μB/f.u.

# 2
VASP calculation (PBE) on a relaxed Rb3Cd4 crystal.

Cell and atoms, written as extended XYZ:
```
14
Lattice="5.209 0.000 0.000 0.000 5.235 0.000 0.000 0.000 22.584" Properties=species:S:1:pos:R:3 pbc="T T T"
Rb 0.000 0.000 0.000
Rb 0.000 2.618 4.256
Rb 0.000 2.618 18.328
Rb 2.605 0.000 7.036
Rb 2.605 0.000 15.548
Rb 2.605 2.618 11.292
Cd 0.000 0.000 9.793
Cd 0.000 0.000 12.791
Cd 0.000 2.618 8.312
Cd 0.000 2.618 14.272
Cd 2.605 0.000 2.980
Cd 2.605 0.000 19.605
Cd 2.605 2.618 1.499
Cd 2.605 2.618 21.085
```

Output
**ΔH_f (0 K)**: -0.260 eV/f.u.
**Energy relative to the lowest polymorph listed for this composition**: 0.0228 eV/atom
**Total magnetization**: 0.00 μB/f.u.

# 3
VASP calculation (PBE) on a relaxed Rb4Cd crystal.

Cell and atoms, written as extended XYZ:
```
10
Lattice="9.340 0.000 0.000 0.000 9.340 0.000 0.000 0.000 8.322" Properties=species:S:1:pos:R:3 pbc="T T T"
Rb 1.585 2.964 0.000
Rb 1.585 6.376 4.161
Rb 2.964 1.585 4.161
Rb 2.964 7.755 0.000
Rb 6.376 1.585 0.000
Rb 6.376 7.755 4.161
Rb 7.755 2.964 4.161
Rb 7.755 6.376 0.000
Cd 0.000 0.000 2.081
Cd 0.000 0.000 6.242
```

Output
**ΔH_f (0 K)**: 0.053 eV/f.u.
**Energy relative to the lowest polymorph listed for this composition**: 0.0096 eV/atom
**Total magnetization**: 0.00 μB/f.u.

# 4
VASP calculation (PBE) on a relaxed Rb3Cd crystal.

Cell and atoms, written as extended XYZ:
```
16
Lattice="5.330 0.000 0.000 0.000 15.746 0.000 0.000 0.000 12.417" Properties=species:S:1:pos:R:3 pbc="T T T"
Rb 0.000 1.054 3.104
Rb 0.000 5.579 0.752
Rb 0.000 5.579 5.457
Rb 0.000 10.167 6.961
Rb 0.000 10.167 11.665
Rb 0.000 14.692 9.313
Rb 2.665 2.294 6.961
Rb 2.665 2.294 11.665
Rb 2.665 6.819 9.313
Rb 2.665 8.926 3.104
Rb 2.665 13.452 0.752
Rb 2.665 13.452 5.457
Cd 0.000 3.932 9.313
Cd 0.000 11.814 3.104
Cd 2.665 3.941 3.104
Cd 2.665 11.805 9.313
```

Output
**ΔH_f (0 K)**: -0.019 eV/f.u.
**Energy relative to the lowest polymorph listed for this composition**: 0.0000 eV/atom
**Total magnetization**: 0.00 μB/f.u.

# 5
VASP calculation (PBE) on a relaxed Rb6Cd7 crystal.

Cell and atoms, written as extended XYZ:
```
13
Lattice="3.249 1.876 15.571 -3.249 1.876 15.571 0.000 -3.751 15.571" Properties=species:S:1:pos:R:3 pbc="T T T"
Rb 0.000 0.000 2.943
Rb 0.000 0.000 7.110
Rb 0.000 0.000 14.191
Rb 0.000 0.000 32.523
Rb 0.000 0.000 39.604
Rb 0.000 0.000 43.771
Cd -1.611 -0.930 20.593
Cd 0.000 -1.861 26.120
Cd -1.611 0.930 26.120
Cd 0.000 0.000 23.357
Cd 1.611 -0.930 20.593
Cd 0.000 1.861 20.593
Cd 1.611 0.930 26.120
```

Output
**ΔH_f (0 K)**: -0.021 eV/f.u.
**Total magnetization**: 0.00 μB/f.u.

# 6
VASP calculation (PBE) on a relaxed Rb7Cd crystal.

Cell and atoms, written as extended XYZ:
```
8
Lattice="3.821 2.206 12.336 -3.821 2.206 12.336 0.000 -4.412 12.336" Properties=species:S:1:pos:R:3 pbc="T T T"
Rb 0.000 0.000 0.000
Rb 0.000 0.000 5.107
Rb 0.000 0.000 9.713
Rb 0.000 0.000 14.643
Rb 0.000 0.000 22.366
Rb 0.000 0.000 27.296
Rb 0.000 0.000 31.901
Cd 0.000 0.000 18.504
```

Output
**ΔH_f (0 K)**: 0.297 eV/f.u.
**Total magnetization**: 0.00 μB/f.u.

# 7
VASP calculation (PBE) on a relaxed Rb3Cd crystal.

Cell and atoms, written as extended XYZ:
```
8
Lattice="6.502 0.000 0.000 0.000 6.502 0.000 0.000 0.000 11.755" Properties=species:S:1:pos:R:3 pbc="T T T"
Rb 0.000 0.000 0.000
Rb 0.000 3.251 2.939
Rb 0.000 3.251 8.816
Rb 3.251 0.000 2.939
Rb 3.251 0.000 8.816
Rb 3.251 3.251 5.877
Cd 0.000 0.000 5.877
Cd 3.251 3.251 0.000
```

Output
**ΔH_f (0 K)**: 0.204 eV/f.u.
**Energy relative to the lowest polymorph listed for this composition**: 0.0557 eV/atom
**Total magnetization**: 0.00 μB/f.u.

# 8
VASP calculation (PBE) on a relaxed Rb4Cd5 crystal.

Cell and atoms, written as extended XYZ:
```
9
Lattice="-6.018 6.018 2.791 6.018 -6.018 2.791 6.018 6.018 -2.791" Properties=species:S:1:pos:R:3 pbc="T T T"
Rb 3.584 0.000 0.000
Rb 8.452 0.000 0.000
Rb 0.000 3.584 0.000
Rb 0.000 8.452 0.000
Cd 0.000 0.000 0.000
Cd 4.480 4.480 0.000
Cd 1.538 -1.538 2.791
Cd -1.538 1.538 2.791
Cd 1.538 1.538 2.791
```

Output
**ΔH_f (0 K)**: 0.250 eV/f.u.
**Total magnetization**: 0.00 μB/f.u.

# 9
VASP calculation (PBE) on a relaxed RbCd6 crystal.

Cell and atoms, written as extended XYZ:
```
28
Lattice="9.555 0.000 0.000 0.000 6.380 0.000 0.000 0.000 12.307" Properties=species:S:1:pos:R:3 pbc="T T T"
Rb 2.289 1.595 0.735
Rb 2.488 4.785 6.889
Rb 7.067 1.595 5.418
Rb 7.266 4.785 11.572
Cd 0.616 0.093 3.815
Cd 0.616 3.097 3.815
Cd 0.736 4.785 1.138
Cd 0.934 1.595 6.409
Cd 1.310 4.785 10.536
Cd 1.750 1.595 9.364
Cd 3.028 4.785 3.210
Cd 3.468 1.595 4.383
Cd 3.844 4.785 0.255
Cd 4.042 1.595 7.292
Cd 4.162 3.283 9.968
Cd 4.162 6.287 9.968
Cd 5.393 0.093 2.339
Cd 5.393 3.097 2.339
Cd 5.513 4.785 5.015
Cd 5.711 1.595 12.052
Cd 6.087 4.785 7.924
Cd 6.527 1.595 9.097
Cd 7.806 4.785 2.943
Cd 8.245 1.595 1.771
Cd 8.621 4.785 5.898
Cd 8.819 1.595 11.169
Cd 8.939 3.283 8.492
Cd 8.939 6.287 8.492
```

Output
**ΔH_f (0 K)**: -0.269 eV/f.u.
**Energy relative to the lowest polymorph listed for this composition**: 0.0000 eV/atom
**Total magnetization**: 0.00 μB/f.u.

# 10
VASP calculation (PBE) on a relaxed RbCd2 crystal.

Cell and atoms, written as extended XYZ:
```
6
Lattice="0.000 4.646 4.646 4.646 0.000 4.646 4.646 4.646 0.000" Properties=species:S:1:pos:R:3 pbc="T T T"
Rb 1.162 1.162 1.162
Rb 8.131 8.131 8.131
Cd 4.646 2.323 2.323
Cd 2.323 4.646 2.323
Cd 2.323 2.323 4.646
Cd 4.646 4.646 4.646
```

Output
**ΔH_f (0 K)**: -0.172 eV/f.u.
**Total magnetization**: 0.00 μB/f.u.

# 11
VASP calculation (PBE) on a relaxed RbCd6 crystal.

Cell and atoms, written as extended XYZ:
```
7
Lattice="6.970 0.000 0.000 0.000 6.970 0.000 0.000 0.000 6.970" Properties=species:S:1:pos:R:3 pbc="T T T"
Rb 0.000 0.000 0.000
Cd 1.364 3.485 3.485
Cd 3.485 1.364 3.485
Cd 3.485 3.485 1.364
Cd 3.485 3.485 5.606
Cd 3.485 5.606 3.485
Cd 5.606 3.485 3.485
```

Output
**ΔH_f (0 K)**: 1.382 eV/f.u.
**Energy relative to the lowest polymorph listed for this composition**: 0.2359 eV/atom
**Total magnetization**: 0.00 μB/f.u.

# 12
VASP calculation (PBE) on a relaxed Rb4Cd3 crystal.

Cell and atoms, written as extended XYZ:
```
21
Lattice="15.282 0.000 0.000 -7.641 13.235 0.000 0.000 0.000 5.427" Properties=species:S:1:pos:R:3 pbc="T T T"
Rb -1.678 3.257 1.320
Rb -2.695 8.153 1.355
Rb -3.982 13.060 1.320
Rb 1.982 3.081 4.107
Rb 1.928 6.825 1.355
Rb 0.767 11.492 1.355
Rb 6.874 1.743 4.072
Rb 5.713 6.410 4.072
Rb 5.660 10.154 1.320
Rb 11.623 0.175 4.107
Rb 10.336 5.082 4.072
Rb 9.319 9.978 4.107
Cd 0.000 0.000 2.714
Cd -0.830 5.919 4.055
Cd -2.100 10.994 4.055
Cd 0.000 8.823 4.077
Cd 4.711 3.679 1.372
Cd 2.930 9.556 4.055
Cd 7.641 4.412 1.350
Cd 9.741 2.241 1.372
Cd 8.471 7.316 1.372
```

Output
**ΔH_f (0 K)**: -0.095 eV/f.u.
**Total magnetization**: 0.00 μB/f.u.

# 13
VASP calculation (PBE) on a relaxed Rb3Cd crystal.

Cell and atoms, written as extended XYZ:
```
4
Lattice="4.593 0.000 0.000 0.000 4.947 0.000 0.000 0.000 12.644" Properties=species:S:1:pos:R:3 pbc="T T T"
Rb 0.000 0.000 0.000
Rb 0.000 2.473 4.118
Rb 2.296 2.473 8.813
Cd 2.296 0.000 5.943
```

Output
**ΔH_f (0 K)**: 0.269 eV/f.u.
**Energy relative to the lowest polymorph listed for this composition**: 0.0719 eV/atom
**Total magnetization**: 0.00 μB/f.u.

# 14
VASP calculation (PBE) on a relaxed Rb3Cd crystal.

Cell and atoms, written as extended XYZ:
```
16
Lattice="9.958 0.000 0.000 0.000 9.958 0.000 0.000 0.000 9.958" Properties=species:S:1:pos:R:3 pbc="T T T"
Rb 0.000 0.000 0.000
Rb 0.000 4.979 4.979
Rb 2.490 2.490 2.490
Rb 2.490 2.490 7.469
Rb 2.490 7.469 2.490
Rb 2.490 7.469 7.469
Rb 4.979 0.000 4.979
Rb 4.979 4.979 0.000
Rb 7.469 2.490 2.490
Rb 7.469 2.490 7.469
Rb 7.469 7.469 2.490
Rb 7.469 7.469 7.469
Cd 0.000 0.000 4.979
Cd 0.000 4.979 0.000
Cd 4.979 0.000 0.000
Cd 4.979 4.979 4.979
```

Output
**ΔH_f (0 K)**: 0.218 eV/f.u.
**Energy relative to the lowest polymorph listed for this composition**: 0.0592 eV/atom
**Total magnetization**: 0.00 μB/f.u.

# 15
VASP calculation (PBE) on a relaxed RbCd13 crystal.

Cell and atoms, written as extended XYZ:
```
28
Lattice="0.000 7.031 7.031 7.031 0.000 7.031 7.031 7.031 0.000" Properties=species:S:1:pos:R:3 pbc="T T T"
Rb 3.516 3.516 3.516
Rb 10.547 10.547 10.547
Cd 0.000 0.000 0.000
Cd 7.031 5.324 2.531
Cd 11.531 7.031 5.324
Cd 8.738 2.531 7.031
Cd 8.738 7.031 4.500
Cd 7.031 4.500 5.324
Cd 9.563 5.324 7.031
Cd 7.031 8.738 2.531
Cd 5.324 2.531 7.031
Cd 11.531 7.031 8.738
Cd 5.324 7.031 4.500
Cd 9.563 8.738 7.031
Cd 7.031 4.500 8.738
Cd 7.031 7.031 7.031
Cd 7.031 9.563 5.324
Cd 4.500 5.324 7.031
Cd 8.738 7.031 9.563
Cd 2.531 7.031 5.324
Cd 8.738 11.531 7.031
Cd 7.031 5.324 11.531
Cd 4.500 8.738 7.031
Cd 7.031 9.563 8.738
Cd 5.324 7.031 9.563
Cd 5.324 11.531 7.031
Cd 2.531 7.031 8.738
Cd 7.031 8.738 11.531
```

Output
**ΔH_f (0 K)**: -0.735 eV/f.u.
**Total magnetization**: 0.00 μB/f.u.

# 16
VASP calculation (PBE) on a relaxed Rb4Cd crystal.

Cell and atoms, written as extended XYZ:
```
10
Lattice="-4.411 4.411 9.271 4.411 -4.411 9.271 4.411 4.411 -9.271" Properties=species:S:1:pos:R:3 pbc="T T T"
Rb 1.988 0.833 -0.882
Rb 3.038 0.217 3.754
Rb 3.038 4.628 -3.754
Rb 2.423 -0.833 8.389
Rb 1.988 5.244 0.882
Rb 1.373 -0.217 13.025
Rb 1.373 4.194 5.517
Rb 2.423 3.578 10.152
Cd 0.000 2.206 2.318
Cd 4.411 2.206 6.953
```

Output
**ΔH_f (0 K)**: 0.005 eV/f.u.
**Energy relative to the lowest polymorph listed for this composition**: 0.0000 eV/atom
**Total magnetization**: 0.00 μB/f.u.

# 17
VASP calculation (PBE) on a relaxed RbCd2 crystal.

Cell and atoms, written as extended XYZ:
```
6
Lattice="4.116 0.000 0.000 0.000 4.116 0.000 0.000 0.000 12.813" Properties=species:S:1:pos:R:3 pbc="T T T"
Rb 0.000 0.000 0.000
Rb 2.058 2.058 6.406
Cd 0.000 0.000 3.700
Cd 0.000 0.000 9.113
Cd 2.058 2.058 2.706
Cd 2.058 2.058 10.107
```

Output
**ΔH_f (0 K)**: -0.040 eV/f.u.
**Total magnetization**: 0.00 μB/f.u.

# 18
VASP calculation (PBE) on a relaxed Rb2Cd17 crystal.

Cell and atoms, written as extended XYZ:
```
19
Lattice="5.254 3.033 5.129 -5.254 3.033 5.129 0.000 -6.067 5.129" Properties=species:S:1:pos:R:3 pbc="T T T"
Rb 0.000 0.000 2.436
Rb 0.000 0.000 12.952
Cd -2.627 -1.517 5.129
Cd 0.000 -3.047 4.881
Cd -2.639 1.523 4.881
Cd -1.547 -2.679 7.694
Cd -3.094 0.000 7.694
Cd -2.639 -1.523 10.507
Cd 0.000 0.000 6.178
Cd -2.627 1.517 10.258
Cd 1.547 -2.679 7.694
Cd 0.000 3.033 5.129
Cd -1.547 2.679 7.694
Cd 0.000 0.000 9.210
Cd 2.639 1.523 4.881
Cd 3.094 0.000 7.694
Cd 1.547 2.679 7.694
Cd 2.639 -1.523 10.507
Cd 0.000 3.047 10.507
```

Output
**ΔH_f (0 K)**: -0.885 eV/f.u.
**Total magnetization**: 0.00 μB/f.u.

# 19
VASP calculation (PBE) on a relaxed Rb3Cd4 crystal.

Cell and atoms, written as extended XYZ:
```
14
Lattice="5.180 0.000 0.000 0.000 16.319 0.000 -2.583 0.000 6.828" Properties=species:S:1:pos:R:3 pbc="T T T"
Rb 0.000 0.000 0.000
Rb 0.000 8.159 0.901
Rb 0.003 2.403 4.116
Rb 0.003 13.916 4.116
Rb 2.593 5.756 3.616
Rb 2.593 10.563 3.616
Cd -0.001 4.082 0.457
Cd -0.001 12.237 0.457
Cd 0.003 8.159 5.088
Cd 0.006 5.464 6.522
Cd 0.006 10.855 6.522
Cd 2.589 2.694 1.209
Cd 2.589 13.625 1.209
Cd 2.594 0.000 2.641
```

Output
**ΔH_f (0 K)**: -0.419 eV/f.u.
**Energy relative to the lowest polymorph listed for this composition**: 0.0000 eV/atom
**Total magnetization**: 0.00 μB/f.u.

# 20
VASP calculation (PBE) on a relaxed Rb15Cd crystal.

Cell and atoms, written as extended XYZ:
```
16
Lattice="9.931 0.000 0.000 -4.966 8.601 0.000 0.000 0.000 15.876" Properties=species:S:1:pos:R:3 pbc="T T T"
Rb 0.000 0.000 0.000
Rb -2.417 4.339 7.938
Rb 2.372 1.370 4.279
Rb 2.372 1.370 11.597
Rb 0.000 5.734 3.819
Rb 0.000 5.734 12.057
Rb 2.417 4.339 7.938
Rb 0.000 8.524 7.938
Rb 4.966 0.077 0.000
Rb 2.550 4.262 0.000
Rb 7.559 1.370 4.279
Rb 7.559 1.370 11.597
Rb 4.966 5.862 4.279
Rb 4.966 5.862 11.597
Rb 7.381 4.262 0.000
Cd 0.000 0.000 7.938
```

Output
**ΔH_f (0 K)**: 0.452 eV/f.u.
**Total magnetization**: 0.00 μB/f.u.

# 21
VASP calculation (PBE) on a relaxed Rb3Cd8 crystal.

Cell and atoms, written as extended XYZ:
```
11
Lattice="5.173 0.000 0.000 -0.006 5.203 0.000 -2.483 -2.533 14.589" Properties=species:S:1:pos:R:3 pbc="T T T"
Rb 0.000 0.000 0.000
Rb -0.008 2.613 4.372
Rb 2.691 0.058 10.217
Cd -0.122 0.071 7.284
Cd 0.227 2.676 8.731
Cd 0.135 2.677 11.674
Cd 0.103 0.074 13.106
Cd 2.580 2.596 1.483
Cd 2.549 -0.007 2.915
Cd 2.457 -0.006 5.858
Cd 2.806 2.599 7.305
```

Output
**ΔH_f (0 K)**: -0.462 eV/f.u.
**Total magnetization**: 0.00 μB/f.u.